A relaxed Li3LaU2S6 crystal, computed with GGA-PBE.

It has space group C2/m (No. 12), with a = 6.877 Å, b = 11.926 Å, c = 6.645 Å, α = 90.00°, β = 110.20° and γ = 90.00°. The distinct sites, in fractional coordinates, are Li at (0.000, 0.000, 0.000), Li at (0.000, 0.330, 0.000), La at (0.000, 0.500, 0.500), U at (0.000, 0.166, 0.500), S at (0.239, 0.000, 0.761) and S at (0.241, 0.174, 0.245).

Its crystal system is monoclinic. As for the total energy: -6.33 eV/atom. The density of states at the Fermi level comes out at 0.723 states/eV per atom.

A relaxed LiLa2US6 crystal, computed with GGA-PBE.

It has space group P2_1/c (No. 14), with a = 6.688 Å, b = 7.335 Å, c = 11.545 Å, α = 90.00°, β = 123.12° and γ = 90.00°. The distinct sites, in fractional coordinates, are Li at (0.000, 0.000, 0.000), La at (0.210, 0.094, 0.745), U at (0.500, 0.000, 0.500), S at (0.124, 0.184, 0.441), S at (0.257, 0.694, 0.435) and S at (0.375, 0.040, 0.246).

Its crystal system is monoclinic. As for the total energy: -6.55 eV/atom. The density of states at the Fermi level comes out at 0.026 states/eV per atom.

A relaxed LiLa2US5 crystal, computed with GGA-PBE.

It has space group Cmc2_1 (No. 36), with a = 4.026 Å, b = 16.680 Å, c = 12.062 Å, α = 90.00°, β = 90.00° and γ = 90.00°. The distinct sites, in fractional coordinates, are Li at (0.000, 0.018, 0.000), La at (0.000, 0.374, 0.827), La at (0.000, 0.391, 0.214), U at (0.000, 0.300, 0.532), S at (0.000, 0.002, 0.305), S at (0.000, 0.136, 0.527), S at (0.000, 0.191, 0.878), S at (0.000, 0.211, 0.186) and S at (0.000, 0.451, 0.590).

Its crystal system is orthorhombic. As for the total energy: -6.65 eV/atom. The density of states at the Fermi level comes out at 0.816 states/eV per atom.

A relaxed LiLa3U3S8 crystal, computed with GGA-PBE.

It has space group R-3m (No. 166, hexagonal axes), with a = 7.8705 Å, b = 7.8705 Å, c = 20.1184 Å, α = 90.00°, β = 90.00° and γ = 120.00°. The distinct sites, in fractional coordinates, are Li at (0.0000, 0.0000, 0.0000), La at (0.0000, 0.5000, 0.5000), U at (0.0000, 0.5000, 0.0000), S at (0.0000, 0.0000, 0.2556) and S at (0.0002, 0.5001, 0.2569).

Its crystal system is trigonal. As for the total energy: -7.26 eV/atom. The density of states at the Fermi level comes out at 1.159 states/eV per atom.

A relaxed LiLaUS3 crystal, computed with GGA-PBE.

It has space group P2_1/m (No. 11), with a = 8.275 Å, b = 3.876 Å, c = 8.570 Å, α = 90.00°, β = 104.70° and γ = 90.00°. The distinct sites, in fractional coordinates, are Li at (0.087, 0.250, 0.087), La at (0.184, 0.250, 0.724), U at (0.344, 0.750, 0.348), S at (0.103, 0.250, 0.366), S at (0.212, 0.750, 0.008) and S at (0.430, 0.750, 0.685).

Its crystal system is monoclinic. As for the total energy: -6.67 eV/atom. The density of states at the Fermi level comes out at 1.062 states/eV per atom.

A relaxed LiLa2YS5 crystal, computed with GGA-PBE.

It has space group Cmc2_1 (No. 36), with a = 4.048 Å, b = 16.640 Å, c = 12.041 Å, α = 90.00°, β = 90.00° and γ = 90.00°. The distinct sites, in fractional coordinates, are Li at (0.000, 0.015, 0.000), La at (0.000, 0.376, 0.819), La at (0.000, 0.391, 0.205), Y at (0.000, 0.303, 0.523), S at (0.000, 0.000, 0.303), S at (0.000, 0.138, 0.519), S at (0.000, 0.193, 0.868), S at (0.000, 0.212, 0.179) and S at (0.000, 0.454, 0.587).

Its crystal system is orthorhombic. As for the total energy: -6.33 eV/atom.

A relaxed LiLa3Y2S6 crystal, computed with GGA-PBE.

It has space group C2/m (No. 12), with a = 6.945 Å, b = 12.059 Å, c = 6.995 Å, α = 90.00°, β = 109.41° and γ = 90.00°. The distinct sites, in fractional coordinates, are Li at (0.000, 0.000, 0.000), La at (0.000, 0.166, 0.500), La at (0.000, 0.500, 0.500), Y at (0.000, 0.334, 0.000), S at (0.241, 0.165, 0.230) and S at (0.248, 0.500, 0.227).

Its crystal system is monoclinic. As for the total energy: -6.55 eV/atom. The density of states at the Fermi level comes out at 0.463 states/eV per atom.

A relaxed LiLa2ZrS5 crystal, computed with GGA-PBE.

It has space group Cmc2_1 (No. 36), with a = 3.954 Å, b = 16.557 Å, c = 11.816 Å, α = 90.00°, β = 90.00° and γ = 90.00°. The distinct sites, in fractional coordinates, are Li at (0.000, 0.046, 0.000), La at (0.000, 0.370, 0.849), La at (0.000, 0.390, 0.234), Zr at (0.000, 0.303, 0.556), S at (0.000, 0.005, 0.317), S at (0.000, 0.144, 0.546), S at (0.000, 0.189, 0.905), S at (0.000, 0.213, 0.206) and S at (0.000, 0.449, 0.601).

Its crystal system is orthorhombic. As for the total energy: -6.42 eV/atom. The density of states at the Fermi level comes out at 0.195 states/eV per atom.